No. 1
NaTlOsRh2: optimized geometry, PBE.

Unit cell a=4.4838 b=4.7074 c=4.4838 alpha=90.00 beta=90.00 gamma=90.00
Fractional positions:
Tl  0.5000  0.5000  0.5000
Rh  0.0000  0.0000  0.5000
Na  0.0000  0.0000  0.0000
Rh  0.5000  0.0000  0.0000
Os  0.0000  0.5000  0.0000

## Properties
Density of states at the Fermi level   6.69 states/eV/cell
Symmetry   P4/mmm (123)
ΔH_f (0 K)   1.9511 eV per atom
Final energy   -3.9725 eV/atom
Crystal system   tetragonal

No. 2
NaPaTe3: optimized geometry, PBE.

Unit cell a=5.9163 b=5.9163 c=5.9163 alpha=90.00 beta=90.00 gamma=90.00
Fractional positions:
Na  0.5000  0.5000  0.5000
Te  0.0000  0.5000  0.0000
Te  0.0000  0.0000  0.5000
Pa  0.0000  0.0000  0.0000
Te  0.5000  0.0000  0.0000

## Properties
Uncorrected formation energy   -700 meV per atom
Symmetry   Pm-3m (221)
Final energy   -4.7483 eV/atom
Crystal system   cubic

No. 3
Te3PdC: optimized geometry, PBE.

Unit cell a=5.2728 b=5.2728 c=5.2728 alpha=90.00 beta=90.00 gamma=90.00
Fractional positions:
Te  0.0000  0.5000  0.0000
Te  0.5000  0.0000  0.0000
Pd  0.0000  0.0000  0.0000
Te  0.0000  0.0000  0.5000
C  0.5000  0.5000  0.5000

## Properties
Density of states at the Fermi level   6.15 states/eV/cell
Uncorrected formation energy   1662 meV per atom
Symmetry   Pm-3m (221)
Final energy   -3.1059 eV/atom
Crystal system   cubic

No. 4
CeZrPd14: optimized geometry, PBE.

Unit cell a=5.7689 b=5.7689 c=7.8457 alpha=90.00 beta=90.00 gamma=90.00
Fractional positions:
Pd  0.8750  0.3750  0.5000
Pd  0.3750  0.8750  0.5000
Pd  0.6279  0.6279  0.2472
Zr  0.8750  0.8750  0.5000
Pd  0.8750  0.8750  0.0000
Ce  0.3750  0.3750  0.5000
Pd  0.8750  0.3750  0.0000
Pd  0.1221  0.1221  0.2472
Pd  0.6279  0.6279  0.7528
Pd  0.1221  0.6279  0.2472
Pd  0.1221  0.6279  0.7528
Pd  0.3750  0.8750  0.0000
Pd  0.3750  0.3750  0.0000
Pd  0.6279  0.1221  0.7528
Pd  0.6279  0.1221  0.2472
Pd  0.1221  0.1221  0.7528

## Properties
Density of states at the Fermi level   18.63 states/eV/cell
Symmetry   P4/mmm (123)
ΔH_f (0 K)   -0.4186 eV per atom
Final energy   -5.8675 eV/atom
Crystal system   tetragonal